(1)
## TcPtSe2 (GGA-PBE)

Data for a relaxed TcPtSe2 crystal.

Results
Raw formation energy   0.4691 eV/atom
Total energy   -21.5 eV/f.u.
Polymorph energy (0 for the lowest one)   643.3 meV/atom

Cell: 2.8666 2.8666 9.4878 Å, 90.00 90.00 117.75°
Last column: nearest neighbours and their distance in Å.
Fractional positions:
Tc: 0.0000 0.0000 0.0000  4 Se 2.58, 4 Tc 2.87
Pt: 0.0000 0.0000 0.5000  6 Pt 2.87-2.96, 4 Se 3.02
Se: 0.5000 0.5000 0.2223  2 Tc 2.58, 4 Se 2.87
Se: 0.5000 0.5000 0.7777  2 Tc 2.58, 4 Se 2.87

(2)
## TcPt4Se (GGA-PBE)

Data for a relaxed TcPt4Se crystal.

Results
Raw formation energy   0.4902 eV/atom
Total energy   -35.1 eV/f.u.

Cell: 5.2927 5.2927 5.2927 Å, 60.00 60.00 60.00°
Last column: nearest neighbours and their distance in Å.
Fractional positions:
Tc: 0.0000 0.0000 0.0000  12 Pt 3.10, 4 Se 3.24
Pt: 0.1241 0.6253 0.6253  6 Pt 2.64-2.65
Pt: 0.6253 0.1241 0.6253  6 Pt 2.64-2.65
Pt: 0.6253 0.6253 0.1241  6 Pt 2.64-2.65
Pt: 0.6253 0.6253 0.6253  6 Pt 2.64-2.65
Se: 0.2500 0.2500 0.2500  12 Pt 3.10, 4 Tc 3.24

(3)
## TcPt2Se (GGA-PBE)

Data for a relaxed TcPt2Se crystal.

Results
Raw formation energy   0.3776 eV/atom
Total energy   -24.4 eV/f.u.

Cell: 4.9839 4.9839 4.9839 Å, 133.51 133.51 67.85°
Last column: nearest neighbours and their distance in Å.
Fractional positions:
Tc: 0.0000 0.0000 0.0000  4 Se 2.78, 8 Pt 2.85
Pt: 0.2500 0.7500 0.5000  4 Pt 2.78, 4 Se 2.85, 4 Tc 2.85
Pt: 0.7500 0.2500 0.5000  4 Pt 2.78, 4 Se 2.85, 4 Tc 2.85
Se: 0.5000 0.5000 0.0000  4 Tc 2.78, 8 Pt 2.85

In Å³/cell, the calculated volume values for the records above are, in order, 69.0 104.8 64.0.